Crystalline Na2Zn2BiAu5 at its relaxed geometry. Source: the Alexandria database, functional PBE.

Geometry as POSCAR:
```
Na2Zn2BiAu5
1.0
10.159 0.000 0.000
0.000 10.159 0.000
0.000 0.000 4.018
Na Zn Bi Au
4 4 2 10
Direct
0.179 0.321 0.000
0.321 0.821 0.000
0.679 0.179 0.000
0.821 0.679 0.000
0.117 0.617 0.000
0.383 0.117 0.000
0.617 0.883 0.000
0.883 0.383 0.000
0.000 0.000 0.000
0.500 0.500 0.000
0.000 0.500 0.500
0.064 0.785 0.500
0.215 0.064 0.500
0.285 0.564 0.500
0.436 0.285 0.500
0.500 0.000 0.500
0.564 0.715 0.500
0.715 0.436 0.500
0.785 0.936 0.500
0.936 0.215 0.500
```

Computed properties:
Space-group type   P4/mbm
Volume   415 Å³ per cell
Energy of formation   -0.2178 eV/atom